No. 1
Compound: URh2O6
Source: Alexandria
Functional: GGA-PBE
Structure: relaxed

Output
Total DFT energy (no corrections)   -0.29266 hartree per atom
Magnetization   0.0 Bohr magnetons per cell
Calculated density   8.2 g/cm³
Formation energy (no corrections)   -1770 meV per atom

Cell lengths 4.8235, 4.8235, 9.4384 Å; angles 90.00, 90.00, 90.00 degrees
Closest atoms and distances in Å follow each position.
Positions (direct):
O  0.3118  0.3118  0.0000  2 Rh 2.05, 1 U 2.13
O  0.2987  0.2987  0.3333  2 Rh 2.04-2.06, 1 U 2.09
Rh  0.5000  0.5000  0.1699  6 O 2.04-2.06
O  0.7987  0.2013  0.8333  2 Rh 2.04-2.06, 1 U 2.09
O  0.2013  0.7987  0.8333  2 Rh 2.04-2.06, 1 U 2.09
O  0.7013  0.7013  0.3333  2 Rh 2.04-2.06, 1 U 2.09
O  0.2013  0.7987  0.1667  2 Rh 2.04-2.06, 1 U 2.09
O  0.6882  0.6882  0.0000  2 Rh 2.05, 1 U 2.13
Rh  0.5000  0.5000  0.8301  6 O 2.04-2.06
U  0.0000  0.0000  0.0000  6 O 2.09-2.13
O  0.7013  0.7013  0.6667  2 Rh 2.04-2.06, 1 U 2.09
Rh  0.0000  0.0000  0.6699  6 O 2.04-2.06
U  0.5000  0.5000  0.5000  6 O 2.09-2.13
O  0.8118  0.1882  0.5000  2 Rh 2.05, 1 U 2.13
O  0.1882  0.8118  0.5000  2 Rh 2.05, 1 U 2.13
O  0.7987  0.2013  0.1667  2 Rh 2.04-2.06, 1 U 2.09
O  0.2987  0.2987  0.6667  2 Rh 2.04-2.06, 1 U 2.09
Rh  0.0000  0.0000  0.3301  6 O 2.04-2.06


No. 2
Compound: Mn2AlP
Source: Alexandria
Functional: GGA-PBE
Structure: relaxed

Output
Total DFT energy (no corrections)   -0.26014 hartree per atom
Magnetization   1.5 Bohr magnetons per cell
Calculated density   6.0 g/cm³
ΔE_f   -0.206 eV/atom

Cell lengths 4.4596, 4.4596, 4.1216 Å; angles 73.01, 73.01, 36.80 degrees
Closest atoms and distances in Å follow each position.
Positions (direct):
P  0.5110  0.5110  0.4380  7 Mn 2.33-2.52
Al  0.7494  0.7494  0.7973  7 Mn 2.38-2.53, 2 P 2.66
Mn  0.9979  0.9979  0.9523  3 Al 2.38-2.47, 4 P 2.48-2.52, 2 Mn 2.63
Mn  0.2417  0.2417  0.3124  3 P 2.33-2.49, 4 Al 2.46-2.53


No. 3
Compound: CaPm3Rh2
Source: Alexandria
Functional: GGA-PBE
Structure: relaxed

Output
Total DFT energy (no corrections)   -0.20830 hartree per atom
Magnetization   0.0 Bohr magnetons per cell
Calculated density   7.2 g/cm³
ΔE_f   -0.509 eV/atom

Cell lengths 4.8773, 7.3979, 8.7415 Å; angles 90.00, 90.00, 90.00 degrees
Closest atoms and distances in Å follow each position.
Positions (direct):
Pm  0.0000  0.3555  0.3339  4 Rh 2.86-3.05
Ca  0.5000  0.0154  0.4159  3 Rh 2.95-3.26
Ca  0.5000  0.5154  0.5841  3 Rh 2.95-3.26
Pm  0.0000  0.4841  0.9184  1 Rh 2.83
Rh  0.5000  0.7605  0.8501  4 Pm 2.83-3.00, 1 Ca 2.95
Rh  0.5000  0.2605  0.1499  4 Pm 2.83-3.00, 1 Ca 2.95
Rh  0.0000  0.2416  0.6687  5 Pm 2.83-3.05
Rh  0.0000  0.7416  0.3313  5 Pm 2.83-3.05
Pm  0.0000  0.8555  0.6661  4 Rh 2.86-3.05
Pm  0.5000  0.6430  0.1660  4 Rh 2.83-2.93
Pm  0.0000  0.9841  0.0816  1 Rh 2.83
Pm  0.5000  0.1430  0.8340  4 Rh 2.83-2.93


No. 4
Compound: Tb2Y7Sc
Source: Alexandria
Functional: GGA-PBE
Structure: relaxed

Output
Total DFT energy (no corrections)   -0.21896 hartree per atom
Magnetization   0.0 Bohr magnetons per cell
Calculated density   5.2 g/cm³
ΔE_f   0.126 eV/atom

Cell lengths 3.4779, 15.1310, 15.1310 Å; angles 156.65, 89.99, 89.99 degrees
Closest atoms and distances in Å follow each position.
Positions (direct):
Y  0.2286  0.3494  0.1532  1 Tb 3.29, 1 Sc 3.38, 8 Y 3.42-3.66
Tb  0.5000  0.1911  0.8089  8 Y 3.29-3.55, 2 Tb 3.48
Y  0.0000  0.2930  0.7070  4 Y 3.48-3.66, 6 Tb 3.48-3.55
Y  0.7714  0.8468  0.6506  1 Tb 3.29, 1 Sc 3.38, 8 Y 3.42-3.66
Y  0.5000  0.5000  0.5000  6 Y 3.42-3.48, 4 Sc 3.52
Tb  0.5000  0.8089  0.1911  8 Y 3.29-3.55, 2 Tb 3.48
Sc  0.0000  0.0000  0.0000  8 Y 3.38-3.52, 2 Sc 3.48
Y  0.0000  0.7070  0.2930  4 Y 3.48-3.66, 6 Tb 3.48-3.55
Y  0.2286  0.1532  0.3494  1 Tb 3.29, 1 Sc 3.38, 8 Y 3.42-3.66
Y  0.7714  0.6506  0.8468  1 Tb 3.29, 1 Sc 3.38, 8 Y 3.42-3.66


No. 5
Compound: Tb5NdY5
Source: Alexandria
Functional: GGA-PBE
Structure: relaxed

Output
Total DFT energy (no corrections)   -0.19038 hartree per atom
Magnetization   0.0 Bohr magnetons per cell
Calculated density   6.1 g/cm³
ΔE_f   0.296 eV/atom

Cell lengths 6.1241, 6.1241, 11.5028 Å; angles 90.00, 90.00, 120.00 degrees
Closest atoms and distances in Å follow each position.
Positions (direct):
Y  0.3333  0.6667  0.6738  9 Tb 3.60-3.66, 1 Nd 3.75, 4 Y 4.00-4.01
Y  0.6667  0.3333  0.8386  7 Y 3.71-4.01, 3 Tb 3.73, 3 Nd 3.99
Tb  0.8314  0.1686  0.5000  6 Tb 3.03-3.24
Tb  0.3371  0.1686  0.5000  6 Tb 3.03-3.24
Tb  0.0000  0.0000  0.7346  1 Y 3.05, 3 Tb 3.24
Nd  0.3333  0.6667  0.0000  5 Y 3.54-3.75
Y  0.3333  0.6667  0.3262  9 Tb 3.60-3.66, 1 Nd 3.75, 4 Y 4.00-4.01
Y  0.6667  0.3333  0.1614  7 Y 3.71-4.01, 3 Tb 3.73, 3 Nd 3.99
Y  0.0000  0.0000  0.0000  2 Tb 3.05
Tb  0.0000  0.0000  0.2654  1 Y 3.05, 3 Tb 3.24
Tb  0.8314  0.6629  0.5000  6 Tb 3.03-3.24


No. 6
Compound: Y5Er2Tm5
Source: Alexandria
Functional: GGA-PBE
Structure: relaxed

Output
Total DFT energy (no corrections)   -0.19437 hartree per atom
Magnetization   0.0 Bohr magnetons per cell
Calculated density   7.3 g/cm³
ΔE_f   0.028 eV/atom

Cell lengths 4.9790, 7.8841, 11.1591 Å; angles 115.07, 90.00, 108.41 degrees
Closest atoms and distances in Å follow each position.
Positions (direct):
Tm  0.5821  0.1642  0.2495  2 Er 3.51, 3 Tm 3.52-3.54, 7 Y 3.52-3.56
Y  0.0000  0.0000  0.0000  2 Er 3.51, 8 Tm 3.52-3.53, 2 Y 3.52
Y  0.8350  0.6699  0.5009  5 Tm 3.51-3.56, 2 Er 3.51-3.54, 5 Y 3.54-3.55
Tm  0.6674  0.3347  0.0003  5 Y 3.51-3.53, 4 Tm 3.51-3.54, 3 Er 3.52
Er  0.9167  0.8334  0.2484  7 Tm 3.51-3.54, 5 Y 3.51-3.54
Er  0.0833  0.1666  0.7516  7 Tm 3.51-3.54, 5 Y 3.51-3.54
Tm  0.5000  0.0000  0.5000  6 Y 3.51-3.53, 2 Tm 3.52, 4 Er 3.54
Tm  0.4179  0.8358  0.7505  2 Er 3.51, 3 Tm 3.52-3.54, 7 Y 3.52-3.56
Tm  0.3326  0.6653  0.9997  5 Y 3.51-3.53, 4 Tm 3.51-3.54, 3 Er 3.52
Y  0.1650  0.3301  0.4991  5 Tm 3.51-3.56, 2 Er 3.51-3.54, 5 Y 3.54-3.55
Y  0.2499  0.4998  0.2486  6 Tm 3.51-3.54, 4 Y 3.52-3.55, 2 Er 3.53
Y  0.7501  0.5002  0.7514  6 Tm 3.51-3.54, 4 Y 3.52-3.55, 2 Er 3.53


No. 7
Compound: AlPO2F
Source: Alexandria
Functional: GGA-PBE
Structure: relaxed

Output
Total DFT energy (no corrections)   -0.18630 hartree per atom
Magnetization   0.0 Bohr magnetons per cell
Calculated density   2.5 g/cm³
Formation energy (no corrections)   -881 meV per atom

Cell lengths 3.4220, 3.4220, 6.2265 Å; angles 90.00, 90.00, 90.00 degrees
Closest atoms and distances in Å follow each position.
Positions (direct):
P  0.0000  0.0000  0.0000  4 O 1.71
O  0.0000  0.5000  0.0000  2 P 1.71
Al  0.5000  0.5000  0.5000  4 F 2.42
F  0.0000  0.0000  0.5000  4 Al 2.42
O  0.5000  0.0000  0.0000  2 P 1.71


No. 8
Compound: Tb5Ho4In4
Source: Alexandria
Functional: GGA-PBE
Structure: relaxed

Output
Total DFT energy (no corrections)   -0.16001 hartree per atom
Magnetization   0.0 Bohr magnetons per cell
Calculated density   8.4 g/cm³
ΔE_f   -0.322 eV/atom

Cell lengths 5.0786, 8.9955, 8.9955 Å; angles 85.43, 73.60, 73.60 degrees
Closest atoms and distances in Å follow each position.
Positions (direct):
Ho  0.0970  0.5108  0.2952  3 In 3.15-3.26
Tb  0.6875  0.9090  0.7161  3 In 3.20-3.24, 2 Ho 3.56
Ho  0.6078  0.2952  0.4892  3 In 3.15-3.26
Ho  0.3922  0.7048  0.5108  3 In 3.15-3.26
Tb  0.0000  0.0000  0.0000  4 In 3.15
Tb  0.3125  0.0910  0.2839  3 In 3.20-3.24, 2 Ho 3.56
In  0.2349  0.6577  0.8725  3 Ho 3.15-3.26, 4 Tb 3.15-3.24
Tb  0.5965  0.7161  0.0910  3 In 3.20-3.24, 2 Ho 3.56
In  0.8926  0.8725  0.3423  3 Ho 3.15-3.26, 4 Tb 3.15-3.24
Ho  0.9030  0.4892  0.7048  3 In 3.15-3.26
Tb  0.4035  0.2839  0.9090  3 In 3.20-3.24, 2 Ho 3.56
In  0.7651  0.3423  0.1275  3 Ho 3.15-3.26, 4 Tb 3.15-3.24
In  0.1074  0.1275  0.6577  3 Ho 3.15-3.26, 4 Tb 3.15-3.24


- The highest calculated density belongs to which entry?
  Tb5Ho4In4